(P)
# Tb3Pm8Nd4 GGA-PBE relaxed
# **Total moment**: 0.000 μB per atom
# **V**: 34.78 A^3/atom
data_Tb3Pm8Nd4
_chemical_formula_sum 'Tb9 Pm24 Nd12'
_cell_length_a 7.0695
_cell_length_b 7.0695
_cell_length_c 36.1593
_cell_angle_alpha 90.00
_cell_angle_beta 90.00
_cell_angle_gamma 120.00
_space_group_name_H-M_alt 'R -3 m'
_space_group_IT_number 166
_space_group_name_Hall '-R 3 2"'
loop_
_atom_site_label
_atom_site_type_symbol
_atom_site_fract_x
_atom_site_fract_y
_atom_site_fract_z
Tb1 Tb 0.0000 0.5000 0.0000
Pm1 Pm 0.0000 0.0000 0.2543
Pm2 Pm 0.0017 0.5009 0.2511
Nd1 Nd 0.0000 0.0000 0.0000
Nd2 Nd 0.0000 0.0000 0.1638
Nd3 Nd 0.0000 0.0000 0.5000

***

(Q)
# Tb3Pm8Nd4 GGA-PBE relaxed
# **Total moment**: 0.000 μB per atom
# **V**: 35.08 A^3/atom
data_Tb3Pm8Nd4
_chemical_formula_sum 'Tb6 Pm16 Nd8'
_cell_length_a 13.708
_cell_length_b 12.888
_cell_length_c 6.871
_cell_angle_alpha 90.00
_cell_angle_beta 119.88
_cell_angle_gamma 90.00
_space_group_name_H-M_alt 'C 1 2/m 1'
_space_group_IT_number 12
_space_group_name_Hall '-C 2y'
loop_
_atom_site_label
_atom_site_type_symbol
_atom_site_fract_x
_atom_site_fract_y
_atom_site_fract_z
Tb1 Tb 0.000 0.000 0.000
Tb2 Tb 0.250 0.250 0.500
Pm1 Pm 0.000 0.147 0.500
Pm2 Pm 0.000 0.246 0.000
Pm3 Pm 0.224 0.000 0.925
Pm4 Pm 0.244 0.000 0.469
Nd1 Nd 0.000 0.500 0.000
Nd2 Nd 0.000 0.500 0.500
Nd3 Nd 0.250 0.250 0.000

***

Question: which arrangement is favored energetically? Ranking from most to least stable: (P), (Q).

***

(P)
# Tb2Pm3Nd GGA-PBE relaxed
# **Total moment**: 0.000 μB per atom
# **V**: 39.05 A^3/atom
data_Tb2Pm3Nd
_chemical_formula_sum 'Tb8 Pm12 Nd4'
_cell_length_a 11.222
_cell_length_b 12.152
_cell_length_c 6.873
_cell_angle_alpha 90.00
_cell_angle_beta 90.00
_cell_angle_gamma 90.00
_space_group_name_H-M_alt 'I b a m'
_space_group_IT_number 72
_space_group_name_Hall '-I 2 2c'
loop_
_atom_site_label
_atom_site_type_symbol
_atom_site_fract_x
_atom_site_fract_y
_atom_site_fract_z
Tb1 Tb 0.243 0.190 0.000
Pm1 Pm 0.000 0.000 0.250
Pm2 Pm 0.000 0.263 0.250
Nd1 Nd 0.000 0.500 0.000

***

(Q)
# Tb2Pm3Nd GGA-PBE relaxed
# **Total moment**: 0.000 μB per atom
# **V**: 33.69 A^3/atom
data_Tb2Pm3Nd
_chemical_formula_sum 'Tb8 Pm12 Nd4'
_cell_length_a 17.778
_cell_length_b 7.246
_cell_length_c 6.276
_cell_angle_alpha 90.00
_cell_angle_beta 90.07
_cell_angle_gamma 90.00
_space_group_name_H-M_alt 'C 1 2/c 1'
_space_group_IT_number 15
_space_group_name_Hall '-C 2yc'
loop_
_atom_site_label
_atom_site_type_symbol
_atom_site_fract_x
_atom_site_fract_y
_atom_site_fract_z
Tb1 Tb 0.167 0.124 0.418
Pm1 Pm 0.000 0.124 0.750
Pm2 Pm 0.168 0.374 0.916
Nd1 Nd 0.000 0.374 0.250

***

Question: which arrangement is favored energetically? Ranking from most to least stable: (Q), (P).

***

(P)
# TbPm4Nd7 GGA-PBE relaxed
# **Total moment**: 0.043 μB per atom
# **V**: 35.36 A^3/atom
data_TbPm4Nd7
_chemical_formula_sum 'Tb2 Pm8 Nd14'
_cell_length_a 16.432
_cell_length_b 6.087
_cell_length_c 9.443
_cell_angle_alpha 90.00
_cell_angle_beta 116.02
_cell_angle_gamma 90.00
_space_group_name_H-M_alt 'C 1 2/m 1'
_space_group_IT_number 12
_space_group_name_Hall '-C 2y'
loop_
_atom_site_label
_atom_site_type_symbol
_atom_site_fract_x
_atom_site_fract_y
_atom_site_fract_z
Tb1 Tb 0.000 0.000 0.000
Pm1 Pm 0.074 0.500 0.700
Pm2 Pm 0.173 0.500 0.389
Nd1 Nd 0.000 0.500 0.000
Nd2 Nd 0.082 0.000 0.438
Nd3 Nd 0.208 0.000 0.225
Nd4 Nd 0.210 0.000 0.876

***

(Q)
# TbPm4Nd7 GGA-PBE relaxed
# **Total moment**: 0.000 μB per atom
# **V**: 34.81 A^3/atom
data_TbPm4Nd7
_chemical_formula_sum 'Tb1 Pm4 Nd7'
_cell_length_a 6.382
_cell_length_b 7.378
_cell_length_c 9.124
_cell_angle_alpha 89.95
_cell_angle_beta 76.47
_cell_angle_gamma 89.98
_space_group_name_H-M_alt 'P -1'
_space_group_IT_number 2
_space_group_name_Hall '-P 1'
loop_
_atom_site_label
_atom_site_type_symbol
_atom_site_fract_x
_atom_site_fract_y
_atom_site_fract_z
Tb1 Tb 0.000 0.000 0.000
Pm1 Pm 0.223 0.500 0.333
Pm2 Pm 0.277 0.250 0.669
Nd1 Nd 0.000 0.500 0.000
Nd2 Nd 0.222 0.000 0.332
Nd3 Nd 0.278 0.750 0.669
Nd4 Nd 0.500 0.249 0.000

***

Question: which arrangement is favored energetically? Ranking from most to least stable: (Q), (P).

***

(P)
# Tb9Pm2Nd GGA-PBE relaxed
# **Total moment**: 0.000 μB per atom
# **V**: 32.55 A^3/atom
data_Tb9Pm2Nd
_chemical_formula_sum 'Tb9 Pm2 Nd1'
_cell_length_a 5.068
_cell_length_b 5.068
_cell_length_c 15.207
_cell_angle_alpha 90.00
_cell_angle_beta 90.00
_cell_angle_gamma 90.00
_space_group_name_H-M_alt 'P 4/m m m'
_space_group_IT_number 123
_space_group_name_Hall '-P 4 2'
loop_
_atom_site_label
_atom_site_type_symbol
_atom_site_fract_x
_atom_site_fract_y
_atom_site_fract_z
Tb1 Tb 0.000 0.000 0.000
Tb2 Tb 0.000 0.000 0.334
Tb3 Tb 0.000 0.500 0.167
Tb4 Tb 0.000 0.500 0.500
Pm1 Pm 0.500 0.500 0.333
Nd1 Nd 0.500 0.500 0.000

***

(Q)
# Tb9Pm2Nd GGA-PBE relaxed
# **Total moment**: 0.000 μB per atom
# **V**: 32.71 A^3/atom
data_Tb9Pm2Nd
_chemical_formula_sum 'Tb9 Pm2 Nd1'
_cell_length_a 11.3429
_cell_length_b 11.3429
_cell_length_c 3.5230
_cell_angle_alpha 90.00
_cell_angle_beta 90.00
_cell_angle_gamma 120.00
_space_group_name_H-M_alt 'P 6/m m m'
_space_group_IT_number 191
_space_group_name_Hall '-P 6 2'
loop_
_atom_site_label
_atom_site_type_symbol
_atom_site_fract_x
_atom_site_fract_y
_atom_site_fract_z
Tb1 Tb 0.0000 0.5000 0.0000
Tb2 Tb 0.1754 0.3509 0.5000
Pm1 Pm 0.3333 0.6667 0.0000
Nd1 Nd 0.0000 0.0000 0.0000

***

Question: which arrangement is favored energetically? Ranking from most to least stable: (P), (Q).

***

(P)
# Tb2PmNd5 GGA-PBE relaxed
# **Total moment**: 0.000 μB per atom
# **V**: 34.26 A^3/atom
data_Tb2PmNd5
_chemical_formula_sum 'Tb4 Pm2 Nd10'
_cell_length_a 7.292
_cell_length_b 14.582
_cell_length_c 5.156
_cell_angle_alpha 90.00
_cell_angle_beta 90.00
_cell_angle_gamma 90.00
_space_group_name_H-M_alt 'P b a m'
_space_group_IT_number 55
_space_group_name_Hall '-P 2 2ab'
loop_
_atom_site_label
_atom_site_type_symbol
_atom_site_fract_x
_atom_site_fract_y
_atom_site_fract_z
Tb1 Tb 0.250 0.125 0.000
Pm1 Pm 0.000 0.000 0.500
Nd1 Nd 0.000 0.250 0.500
Nd2 Nd 0.000 0.500 0.500
Nd3 Nd 0.250 0.375 0.000

***

(Q)
# Tb2PmNd5 GGA-PBE relaxed
# **Total moment**: 0.000 μB per atom
# **V**: 36.03 A^3/atom
data_Tb2PmNd5
_chemical_formula_sum 'Tb4 Pm2 Nd10'
_cell_length_a 7.234
_cell_length_b 10.162
_cell_length_c 8.054
_cell_angle_alpha 90.00
_cell_angle_beta 103.19
_cell_angle_gamma 90.00
_space_group_name_H-M_alt 'P 1 21/m 1'
_space_group_IT_number 11
_space_group_name_Hall '-P 2yb'
loop_
_atom_site_label
_atom_site_type_symbol
_atom_site_fract_x
_atom_site_fract_y
_atom_site_fract_z
Tb1 Tb 0.093 0.091 0.365
Pm1 Pm 0.066 0.750 0.280
Nd1 Nd 0.247 0.529 0.999
Nd2 Nd 0.412 0.593 0.639
Nd3 Nd 0.424 0.250 0.722

***

Question: which arrangement is favored energetically? Ranking from most to least stable: (P), (Q).